Record 1
80
Lattice="-7.026 7.026 7.026 7.026 -7.026 7.026 7.026 7.026 -7.026" Properties=species:S:1:pos:R:3 comment="PBE Mn5Ir12Rh3, relaxed" n_ef_per_ev_fu=25.60 e_form_kj_per_mol_fu=1544 pbc="T T T"
Mn 0.000 0.000 0.000
Mn 3.513 3.513 -3.513
Mn 3.513 -3.513 3.513
Mn 7.026 0.000 0.000
Mn 10.539 1.756 0.000
Mn 7.026 -3.513 5.269
Mn 5.269 7.026 -3.513
Mn 5.269 0.000 3.513
Mn 3.513 5.269 0.000
Mn 7.026 3.513 1.756
Mn -3.513 3.513 3.513
Mn 0.000 7.026 0.000
Mn 0.000 0.000 7.026
Mn 3.513 3.513 3.513
Mn 0.000 3.513 5.269
Mn 3.513 1.756 7.026
Mn 1.756 7.026 3.513
Mn 1.756 0.000 10.539
Mn 0.000 10.539 1.756
Mn -3.513 5.269 7.026
Ir 2.157 -0.286 1.030
Ir 8.382 4.543 -3.799
Ir 6.740 -1.030 2.157
Ir 10.825 -1.356 2.483
Ir 9.182 0.286 1.030
Ir 8.382 -2.483 3.799
Ir 1.030 2.157 -0.286
Ir 9.508 3.227 -1.356
Ir 4.543 3.799 -1.356
Ir 5.995 2.157 0.286
Ir -0.286 1.030 2.157
Ir 3.799 -1.356 4.543
Ir 6.740 5.995 -2.157
Ir 3.799 1.356 2.483
Ir 5.995 -2.157 6.740
Ir 4.543 -3.799 8.382
Ir 2.483 3.799 1.356
Ir 8.056 4.869 0.286
Ir 2.157 6.740 -1.030
Ir 8.382 2.483 3.227
Ir 3.799 8.382 -2.483
Ir 6.740 1.030 4.869
Ir 1.356 2.483 3.799
Ir 2.157 0.286 5.995
Ir 4.869 6.740 1.030
Ir 5.669 4.543 3.227
Ir 0.286 5.995 2.157
Ir 3.227 -1.356 9.508
Ir -1.356 4.543 3.799
Ir 4.869 0.286 8.056
Ir -1.030 2.157 6.740
Ir 4.543 3.227 5.669
Ir 2.483 10.825 -1.356
Ir 1.030 9.182 0.286
Ir 3.227 5.669 4.543
Ir 0.286 1.030 9.182
Ir 3.227 8.382 2.483
Ir 7.312 5.995 4.869
Ir 1.030 4.869 6.740
Ir 2.483 3.227 8.382
Ir -2.483 3.799 8.382
Ir 5.995 4.869 7.312
Ir -1.356 9.508 3.227
Ir -2.157 6.740 5.995
Ir -3.799 8.382 4.543
Ir 0.286 8.056 4.869
Ir -1.356 2.483 10.825
Ir 4.869 7.312 5.995
Rh 3.513 1.756 0.000
Rh 7.026 3.513 -1.756
Rh 1.756 0.000 3.513
Rh 8.782 0.000 3.513
Rh 0.000 3.513 1.756
Rh 3.513 -1.756 7.026
Rh 3.513 8.782 0.000
Rh 7.026 3.513 5.269
Rh -1.756 7.026 3.513
Rh 5.269 7.026 3.513
Rh 0.000 3.513 8.782
Rh 3.513 5.269 7.026

Record 2
6
Lattice="0.000 3.637 3.637 3.637 0.000 3.637 3.637 3.637 0.000" Properties=species:S:1:pos:R:3 comment="PBE MnIr4Rh, relaxed" n_ef_per_ev_fu=11.49 e_form_kj_per_mol_fu=247 de_polymorph_ev_per_fu=3.114 pbc="T T T"
Mn 0.000 0.000 0.000
Ir 2.728 2.728 2.728
Ir 4.546 4.546 2.728
Ir 4.546 2.728 4.546
Ir 2.728 4.546 4.546
Rh 5.455 5.455 5.455

Record 3
6
Lattice="0.000 3.583 3.583 3.583 0.000 3.583 3.583 3.583 0.000" Properties=species:S:1:pos:R:3 comment="PBE MnIrRh4, relaxed" n_ef_per_ev_fu=10.77 e_form_kj_per_mol_fu=227 de_polymorph_ev_per_fu=2.967 pbc="T T T"
Mn 0.000 0.000 0.000
Ir 1.792 1.792 1.792
Rh 4.478 2.689 2.689
Rh 2.689 4.478 2.689
Rh 2.689 2.689 4.478
Rh 4.478 4.478 4.478

Record 4
3
Lattice="2.689 0.000 0.000 -1.344 2.329 0.000 0.000 0.000 6.481" Properties=species:S:1:pos:R:3 comment="PBE MnIrRh, relaxed" n_ef_per_ev_fu=3.06 e_form_kj_per_mol_fu=-17 de_polymorph_ev_per_fu=0.066 pbc="T T T"
Mn 0.000 0.000 0.000
Ir 0.000 1.552 4.434
Rh 1.344 0.776 2.074

Record 5
4
Lattice="-1.399 2.241 4.558 1.399 -2.241 4.558 1.399 2.241 -4.558" Properties=species:S:1:pos:R:3 comment="PBE MnIr2Rh, relaxed" n_ef_per_ev_fu=5.15 e_form_kj_per_mol_fu=45 pbc="T T T"
Mn 0.000 0.000 0.000
Ir 0.000 0.000 4.612
Ir 0.000 2.241 2.473
Rh 1.399 0.000 2.102

Record 6
4
Lattice="-1.907 1.907 3.829 1.907 -1.907 3.829 1.907 1.907 -3.829" Properties=species:S:1:pos:R:3 comment="PBE MnIr2Rh, relaxed" n_ef_per_ev_fu=4.14 e_form_kj_per_mol_fu=-51 pbc="T T T"
Mn 0.000 0.000 0.000
Ir 0.000 0.000 3.829
Ir 0.000 1.907 1.914
Rh 1.907 0.000 1.914